A.
LiTl4Pb | PBE | optimized geometry

Computed properties:
- Spin magnetization: 0.00 μB/cell

Geometry as POSCAR:
```
LiTl4Pb
1.0
0.000 4.533 4.533
4.533 0.000 4.533
4.533 4.533 0.000
Li Tl Pb
1 4 1
Direct
0.000 0.000 0.000 Li
0.125 0.625 0.625 Tl
0.625 0.125 0.625 Tl
0.625 0.625 0.125 Tl
0.625 0.625 0.625 Tl
0.250 0.250 0.250 Pb
```

=====

B.
LiTl4Pb | PBE | optimized geometry

Computed properties:
- Spin magnetization: 0.00 μB/cell

Geometry as POSCAR:
```
LiTl4Pb
1.0
4.950 0.000 0.000
0.000 4.950 0.000
0.000 0.000 7.568
Li Tl Pb
1 4 1
Direct
0.000 0.000 0.000 Li
0.000 0.500 0.223 Tl
0.000 0.500 0.777 Tl
0.500 0.000 0.223 Tl
0.500 0.000 0.777 Tl
0.500 0.500 0.500 Pb
```

=====

The computed energies, referenced to the most stable structure and given in meV per atom, are A 32; B 0.

=====

A.
LiTl4Pb2 | PBE | optimized geometry

Computed properties:
- Spin magnetization: 0.00 μB/cell

Geometry as POSCAR:
```
LiTl4Pb2
1.0
6.490 0.000 0.000
0.000 13.665 0.000
0.000 0.000 5.169
Li Tl Pb
2 8 4
Direct
0.000 0.000 0.000 Li
0.500 0.500 0.000 Li
0.000 0.118 0.500 Tl
0.000 0.249 0.000 Tl
0.000 0.751 0.000 Tl
0.000 0.882 0.500 Tl
0.500 0.251 0.000 Tl
0.500 0.382 0.500 Tl
0.500 0.618 0.500 Tl
0.500 0.749 0.000 Tl
0.000 0.384 0.500 Pb
0.000 0.616 0.500 Pb
0.500 0.116 0.500 Pb
0.500 0.884 0.500 Pb
```

=====

B.
LiTl4Pb2 | PBE | optimized geometry

Computed properties:
- Spin magnetization: 0.00 μB/cell

Geometry as POSCAR:
```
LiTl4Pb2
1.0
9.181 0.000 0.000
0.000 9.584 0.000
0.000 0.000 4.846
Li Tl Pb
2 8 4
Direct
0.000 0.000 0.000 Li
0.500 0.500 0.000 Li
0.000 0.318 0.500 Tl
0.000 0.682 0.500 Tl
0.250 0.250 0.000 Tl
0.250 0.750 0.000 Tl
0.500 0.182 0.500 Tl
0.500 0.818 0.500 Tl
0.750 0.250 0.000 Tl
0.750 0.750 0.000 Tl
0.184 0.000 0.500 Pb
0.316 0.500 0.500 Pb
0.684 0.500 0.500 Pb
0.816 0.000 0.500 Pb
```

=====

The computed energies, referenced to the most stable structure and given in meV per atom, are A 133; B 0.

=====

A.
LiTl2Pb6 | PBE | optimized geometry

Computed properties:
- Spin magnetization: 0.00 μB/cell

Geometry as POSCAR:
```
LiTl2Pb6
1.0
5.000 0.000 0.000
2.462 5.580 0.000
0.097 2.321 10.195
Li Tl Pb
1 2 6
Direct
0.000 0.000 0.000 Li
0.480 0.037 0.691 Tl
0.520 0.963 0.309 Tl
0.160 0.688 0.546 Pb
0.212 0.571 0.247 Pb
0.341 0.317 0.971 Pb
0.659 0.683 0.029 Pb
0.788 0.429 0.753 Pb
0.840 0.312 0.454 Pb
```

=====

B.
LiTl2Pb6 | PBE | optimized geometry

Computed properties:
- Spin magnetization: 0.00 μB/cell

Geometry as POSCAR:
```
LiTl2Pb6
1.0
6.814 0.000 0.000
-3.407 5.901 0.000
0.000 0.000 6.984
Li Tl Pb
1 2 6
Direct
0.000 0.000 0.000 Li
0.333 0.667 0.127 Tl
0.667 0.333 0.873 Tl
0.170 0.339 0.687 Pb
0.170 0.830 0.687 Pb
0.339 0.170 0.313 Pb
0.661 0.830 0.687 Pb
0.830 0.170 0.313 Pb
0.830 0.661 0.313 Pb
```

=====

The computed energies, referenced to the most stable structure and given in meV per atom, are A 5; B 0.

=====

A.
Li3TlPb | PBE | optimized geometry

Computed properties:
- Spin magnetization: 0.00 μB/cell

Geometry as POSCAR:
```
Li3TlPb
1.0
5.253 0.000 0.000
0.000 5.253 0.000
0.000 0.000 5.253
Li Tl Pb
3 1 1
Direct
0.000 0.000 0.500 Li
0.000 0.500 0.000 Li
0.500 0.000 0.000 Li
0.500 0.500 0.500 Tl
0.000 0.000 0.000 Pb
```

=====

B.
Li3TlPb | PBE | optimized geometry

Computed properties:
- Spin magnetization: 0.00 μB/cell

Geometry as POSCAR:
```
Li3TlPb
1.0
7.078 -2.495 0.000
7.078 2.495 0.000
-0.709 0.000 5.943
Li Tl Pb
6 2 2
Direct
0.003 0.003 0.242 Li
0.209 0.209 0.070 Li
0.410 0.410 0.347 Li
0.590 0.590 0.653 Li
0.791 0.791 0.930 Li
0.997 0.997 0.758 Li
0.181 0.181 0.570 Tl
0.819 0.819 0.430 Tl
0.395 0.395 0.846 Pb
0.605 0.605 0.154 Pb
```

=====

The computed energies, referenced to the most stable structure and given in meV per atom, are A 246; B 0.

=====

A.
Li3Tl3Pb | PBE | optimized geometry

Computed properties:
- Spin magnetization: 0.00 μB/cell

Geometry as POSCAR:
```
Li3Tl3Pb
1.0
8.724 0.000 0.000
0.000 8.724 0.000
0.000 0.000 8.724
Li Tl Pb
12 12 4
Direct
0.052 0.254 0.855 Li
0.145 0.552 0.246 Li
0.246 0.145 0.552 Li
0.254 0.855 0.052 Li
0.355 0.448 0.746 Li
0.448 0.746 0.355 Li
0.552 0.246 0.145 Li
0.645 0.948 0.754 Li
0.746 0.355 0.448 Li
0.754 0.645 0.948 Li
0.855 0.052 0.254 Li
0.948 0.754 0.645 Li
0.053 0.447 0.553 Tl
0.133 0.867 0.367 Tl
0.193 0.193 0.193 Tl
0.307 0.807 0.693 Tl
0.367 0.133 0.867 Tl
0.447 0.553 0.053 Tl
0.553 0.053 0.447 Tl
0.633 0.633 0.633 Tl
0.693 0.307 0.807 Tl
0.807 0.693 0.307 Tl
0.867 0.367 0.133 Tl
0.947 0.947 0.947 Tl
0.085 0.585 0.915 Pb
0.415 0.415 0.415 Pb
0.585 0.915 0.085 Pb
0.915 0.085 0.585 Pb
```

=====

B.
Li3Tl3Pb | PBE | optimized geometry

Computed properties:
- Spin magnetization: 0.00 μB/cell

Geometry as POSCAR:
```
Li3Tl3Pb
1.0
7.392 0.000 0.000
0.000 7.392 0.000
0.000 0.000 7.392
Li Tl Pb
6 6 2
Direct
0.000 0.250 0.500 Li
0.000 0.750 0.500 Li
0.250 0.500 0.000 Li
0.500 0.000 0.250 Li
0.500 0.000 0.750 Li
0.750 0.500 0.000 Li
0.000 0.500 0.250 Tl
0.000 0.500 0.750 Tl
0.250 0.000 0.500 Tl
0.500 0.250 0.000 Tl
0.500 0.750 0.000 Tl
0.750 0.000 0.500 Tl
0.000 0.000 0.000 Pb
0.500 0.500 0.500 Pb
```

=====

The computed energies, referenced to the most stable structure and given in meV per atom, are A 0; B 401.

=====

A.
Li6Tl2Pb | PBE | optimized geometry

Computed properties:
- Spin magnetization: 0.00 μB/cell

Geometry as POSCAR:
```
Li6Tl2Pb
1.0
8.222 0.000 0.000
-4.111 7.120 0.000
0.000 0.000 3.177
Li Tl Pb
6 2 1
Direct
0.000 0.304 0.000 Li
0.000 0.636 0.500 Li
0.304 0.000 0.000 Li
0.364 0.364 0.500 Li
0.636 0.000 0.500 Li
0.696 0.696 0.000 Li
0.333 0.667 0.000 Tl
0.667 0.333 0.000 Tl
0.000 0.000 0.500 Pb
```

=====

B.
Li6Tl2Pb | PBE | optimized geometry

Computed properties:
- Spin magnetization: 0.00 μB/cell

Geometry as POSCAR:
```
Li6Tl2Pb
1.0
8.161 0.000 0.000
-4.081 7.068 0.000
0.000 0.000 3.068
Li Tl Pb
6 2 1
Direct
0.000 0.334 0.000 Li
0.000 0.666 0.000 Li
0.334 0.000 0.000 Li
0.334 0.334 0.000 Li
0.666 0.000 0.000 Li
0.666 0.666 0.000 Li
0.333 0.667 0.500 Tl
0.667 0.333 0.500 Tl
0.000 0.000 0.500 Pb
```

=====

The computed energies, referenced to the most stable structure and given in meV per atom, are A 10; B 0.

=====

A.
LiTmTlPb | PBE | optimized geometry

Computed properties:
- Spin magnetization: 0.00 μB/cell

Geometry as POSCAR:
```
LiTmTlPb
1.0
4.173 0.000 0.000
0.000 4.799 0.000
0.000 0.000 4.972
Li Tm Tl Pb
1 1 1 1
Direct
0.000 0.000 0.000 Li
0.000 0.500 0.500 Tm
0.500 0.500 0.000 Tl
0.500 0.000 0.500 Pb
```

=====

B.
LiTmTlPb | PBE | optimized geometry

Computed properties:
- Spin magnetization: 0.00 μB/cell

Geometry as POSCAR:
```
LiTmTlPb
1.0
7.385 0.000 0.000
0.000 7.385 0.000
0.000 0.000 7.385
Li Tm Tl Pb
4 4 4 4
Direct
0.000 0.000 0.000 Li
0.000 0.500 0.500 Li
0.500 0.000 0.500 Li
0.500 0.500 0.000 Li
0.000 0.000 0.500 Tm
0.000 0.500 0.000 Tm
0.500 0.000 0.000 Tm
0.500 0.500 0.500 Tm
0.250 0.250 0.250 Tl
0.250 0.750 0.750 Tl
0.750 0.250 0.750 Tl
0.750 0.750 0.250 Tl
0.250 0.250 0.750 Pb
0.250 0.750 0.250 Pb
0.750 0.250 0.250 Pb
0.750 0.750 0.750 Pb
```

=====

The computed energies, referenced to the most stable structure and given in meV per atom, are A 0; B 29.

=====

A.
LiYTlPb | PBE | optimized geometry

Computed properties:
- Spin magnetization: 0.00 μB/cell

Geometry as POSCAR:
```
LiYTlPb
1.0
7.438 0.000 0.000
0.000 7.438 0.000
0.000 0.000 7.438
Li Y Tl Pb
4 4 4 4
Direct
0.000 0.000 0.000 Li
0.000 0.500 0.500 Li
0.500 0.000 0.500 Li
0.500 0.500 0.000 Li
0.000 0.000 0.500 Y
0.000 0.500 0.000 Y
0.500 0.000 0.000 Y
0.500 0.500 0.500 Y
0.250 0.250 0.750 Tl
0.250 0.750 0.250 Tl
0.750 0.250 0.250 Tl
0.750 0.750 0.750 Tl
0.250 0.250 0.250 Pb
0.250 0.750 0.750 Pb
0.750 0.250 0.750 Pb
0.750 0.750 0.250 Pb
```

=====

B.
LiYTlPb | PBE | optimized geometry

Computed properties:
- Spin magnetization: 0.00 μB/cell

Geometry as POSCAR:
```
LiYTlPb
1.0
4.416 0.000 0.000
0.000 4.696 0.000
0.000 0.000 4.839
Li Y Tl Pb
1 1 1 1
Direct
0.000 0.000 0.000 Li
0.000 0.500 0.500 Y
0.500 0.500 0.000 Tl
0.500 0.000 0.500 Pb
```

=====

The computed energies, referenced to the most stable structure and given in meV per atom, are A 49; B 0.

=====

A.
LiV2Pb2 | PBE | optimized geometry

Computed properties:
- Spin magnetization: 0.00 μB/cell

Geometry as POSCAR:
```
LiV2Pb2
1.0
7.820 0.000 0.000
0.000 7.820 0.000
0.000 0.000 3.401
Li V Pb
2 4 4
Direct
0.000 0.000 0.000 Li
0.500 0.500 0.000 Li
0.090 0.410 0.000 V
0.410 0.910 0.000 V
0.590 0.090 0.000 V
0.910 0.590 0.000 V
0.200 0.700 0.500 Pb
0.300 0.200 0.500 Pb
0.700 0.800 0.500 Pb
0.800 0.300 0.500 Pb
```

=====

B.
LiV2Pb2 | PBE | optimized geometry

Computed properties:
- Spin magnetization: 0.00 μB/cell

Geometry as POSCAR:
```
LiV2Pb2
1.0
4.603 0.000 0.000
0.000 4.603 0.000
0.000 0.000 10.802
Li V Pb
2 4 4
Direct
0.000 0.000 0.000 Li
0.500 0.500 0.500 Li
0.000 0.000 0.415 V
0.000 0.000 0.585 V
0.500 0.500 0.085 V
0.500 0.500 0.915 V
0.000 0.500 0.250 Pb
0.000 0.500 0.750 Pb
0.500 0.000 0.250 Pb
0.500 0.000 0.750 Pb
```

=====

The computed energies, referenced to the most stable structure and given in meV per atom, are A 0; B 237.

=====

A.
LiVPb3 | PBE | optimized geometry

Computed properties:
- Spin magnetization: 3.90 μB/cell

Geometry as POSCAR:
```
LiVPb3
1.0
5.105 0.000 0.000
0.000 5.105 0.000
0.000 0.000 5.105
Li V Pb
1 1 3
Direct
0.000 0.000 0.000 Li
0.500 0.500 0.500 V
0.000 0.000 0.500 Pb
0.000 0.500 0.000 Pb
0.500 0.000 0.000 Pb
```

=====

B.
LiVPb3 | PBE | optimized geometry

Computed properties:
- Spin magnetization: 0.53 μB/cell

Geometry as POSCAR:
```
LiVPb3
1.0
5.319 0.000 0.000
0.000 5.319 0.000
0.000 0.000 5.319
Li V Pb
1 1 3
Direct
0.000 0.000 0.000 Li
0.500 0.500 0.500 V
0.000 0.500 0.500 Pb
0.500 0.000 0.500 Pb
0.500 0.500 0.000 Pb
```

=====

The computed energies, referenced to the most stable structure and given in meV per atom, are A 361; B 0.

=====

A.
LiPb2W | PBE | optimized geometry

Computed properties:
- Spin magnetization: 0.00 μB/cell

Geometry as POSCAR:
```
LiPb2W
1.0
3.222 0.000 0.000
0.000 4.690 0.000
0.000 0.000 5.806
Li Pb W
1 2 1
Direct
0.000 0.000 0.000 Li
0.000 0.500 0.500 Pb
0.500 0.500 0.000 Pb
0.500 0.000 0.500 W
```

=====

B.
LiPb2W | PBE | optimized geometry

Computed properties:
- Spin magnetization: 10.94 μB/cell

Geometry as POSCAR:
```
LiPb2W
1.0
4.632 0.000 0.000
0.000 4.632 0.000
0.000 0.000 18.945
Li Pb W
4 8 4
Direct
0.000 0.000 0.000 Li
0.000 0.500 0.250 Li
0.500 0.000 0.750 Li
0.500 0.500 0.500 Li
0.245 0.250 0.625 Pb
0.250 0.745 0.875 Pb
0.250 0.755 0.375 Pb
0.255 0.250 0.125 Pb
0.745 0.750 0.125 Pb
0.750 0.245 0.375 Pb
0.750 0.255 0.875 Pb
0.755 0.750 0.625 Pb
0.000 0.000 0.500 W
0.000 0.500 0.750 W
0.500 0.000 0.250 W
0.500 0.500 0.000 W
```

=====

C.
LiPb2W | PBE | optimized geometry

Computed properties:
- Spin magnetization: 0.00 μB/cell

Geometry as POSCAR:
```
LiPb2W
1.0
3.715 0.000 0.000
0.000 4.457 0.000
0.000 0.000 9.971
Li Pb W
2 4 2
Direct
0.000 0.000 0.000 Li
0.500 0.500 0.500 Li
0.000 0.000 0.518 Pb
0.000 0.500 0.756 Pb
0.500 0.000 0.256 Pb
0.500 0.500 0.018 Pb
0.000 0.500 0.258 W
0.500 0.000 0.758 W
```

=====

The computed energies, referenced to the most stable structure and given in meV per atom, are A 96; B 366; C 0.

=====

A.
LiPb2W | PBE | optimized geometry

Computed properties:
- Spin magnetization: 0.00 μB/cell

Geometry as POSCAR:
```
LiPb2W
1.0
3.726 0.000 0.000
0.000 5.155 0.000
0.000 0.000 9.081
Li Pb W
2 4 2
Direct
0.000 0.000 0.000 Li
0.500 0.500 0.000 Li
0.000 0.500 0.255 Pb
0.000 0.500 0.745 Pb
0.500 0.000 0.255 Pb
0.500 0.000 0.745 Pb
0.000 0.000 0.500 W
0.500 0.500 0.500 W
```

=====

B.
LiPb2W | PBE | optimized geometry

Computed properties:
- Spin magnetization: 0.00 μB/cell

Geometry as POSCAR:
```
LiPb2W
1.0
9.278 0.000 0.000
0.000 3.070 0.000
-0.970 0.000 6.127
Li Pb W
2 4 2
Direct
0.000 0.000 0.000 Li
0.500 0.500 0.000 Li
0.247 0.000 0.741 Pb
0.253 0.500 0.259 Pb
0.747 0.500 0.741 Pb
0.753 0.000 0.259 Pb
0.000 0.500 0.500 W
0.500 0.000 0.500 W
```

=====

The computed energies, referenced to the most stable structure and given in meV per atom, are A 0; B 88.